No. 1
A plane-wave DFT calculation with PBE was carried out for a relaxed structure of SnWS3.

Results
Formation energy from raw total energies (eV/atom): -0.06
Raw total energy (eV per atom): -5.928

The structure in extended XYZ format:
```
5
Lattice="4.731 0.000 0.000 0.000 4.731 0.000 0.000 0.000 4.731" Properties=species:S:1:pos:R:3 pbc="T T T"
S 0.000 2.365 0.000
S 0.000 0.000 2.365
S 2.365 0.000 0.000
Sn 2.365 2.365 2.365
W 0.000 0.000 0.000
```

---

No. 2
A plane-wave DFT calculation with PBE was carried out for a relaxed structure of SnWS.

Results
Formation energy from raw total energies (eV/atom): -0.12
Raw total energy (eV per atom): -7.144

The structure in extended XYZ format:
```
6
Lattice="3.131 0.000 0.000 -1.565 2.710 0.000 0.000 0.000 15.434" Properties=species:S:1:pos:R:3 pbc="T T T"
W 1.565 0.554 0.000
W 0.000 1.556 7.717
S 1.565 0.652 6.121
S 1.565 0.652 9.313
Sn 0.000 1.455 13.061
Sn 0.000 1.455 2.374
```

---

No. 3
A plane-wave DFT calculation with PBE was carried out for a relaxed structure of SnW2S2.

Results
Formation energy from raw total energies (eV/atom): 0.25
Raw total energy (eV per atom): -7.387

The structure in extended XYZ format:
```
5
Lattice="-3.943 0.510 -0.448 -0.579 -3.905 0.653 -2.799 -0.621 6.056" Properties=species:S:1:pos:R:3 pbc="T T T"
S -2.407 -1.405 1.718
S -4.914 -2.611 4.543
Sn 0.000 0.000 0.000
W -4.502 -0.904 2.855
W -2.820 -3.112 3.406
```

---

No. 4
A plane-wave DFT calculation with PBE was carried out for a relaxed structure of Sn2WS2.

Results
Formation energy from raw total energies (eV/atom): 0.10
Raw total energy (eV per atom): -5.744

The structure in extended XYZ format:
```
10
Lattice="-3.008 -2.673 -4.883 2.623 -5.576 1.436 -4.434 -1.212 3.394" Properties=species:S:1:pos:R:3 pbc="T T T"
S 1.186 -5.480 -0.407
S -0.718 -5.964 -3.068
S -1.571 -2.768 -3.040
S 0.334 -2.284 -0.379
Sn -1.012 -5.693 1.454
Sn -2.667 -6.709 -1.070
Sn -3.806 -3.767 -1.507
Sn -2.151 -2.752 1.017
W 0.000 0.000 0.000
W -0.192 -4.124 -1.724
```